RbLiHgO2: relaxed, PBE-GGA.

Properties
V	19.259	Å³ per atom
formation energy (no corrections)	-1.083	eV/atom
magnetization	0.000	μB/cell

a b c (Å): 5.470 5.762 6.756
angles (deg): 115.24 90.00 90.00
Fractional positions:
Rb: 0.316 0.750 0.500
Rb: 0.684 0.250 0.500
Li: 0.500 0.750 0.000
Li: 0.500 0.250 0.000
Hg: 0.000 0.000 0.000
Hg: 0.000 0.500 0.000
O: 0.688 0.910 0.820
O: 0.688 0.590 0.180
O: 0.312 0.410 0.820
O: 0.312 0.090 0.180